Material: La2ReBr
Method: DFT, PBE-GGA
State: relaxed

```
data_La2ReBr
_symmetry_space_group_name_H-M 'P 1'
_symmetry_Int_Tables_number 1
_symmetry_space_group_name_Hall 'P 1'
_cell_length_a 3.5639
_cell_length_b 3.5639
_cell_length_c 8.3321
_cell_angle_alpha 90.00
_cell_angle_beta 90.00
_cell_angle_gamma 90.00
loop_
_atom_site_label
_atom_site_fract_x
_atom_site_fract_y
_atom_site_fract_z
Re1 0.5000 0.5000 0.2500
La1 0.0000 0.0000 0.4579
La2 0.0000 0.0000 0.0421
Br1 0.5000 0.5000 0.7500
```

**Polymorph energy (0 for the lowest one)**: 4 meV/atom
**Raw formation energy**: -0.514 eV/atom

=====

Material: ZnReMo2
Method: DFT, PBE-GGA
State: relaxed

```
data_ZnReMo2
_symmetry_space_group_name_H-M 'P 1'
_symmetry_Int_Tables_number 1
_symmetry_space_group_name_Hall 'P 1'
_cell_length_a 4.8436
_cell_length_b 4.8436
_cell_length_c 4.8436
_cell_angle_alpha 132.47
_cell_angle_beta 132.47
_cell_angle_gamma 69.49
loop_
_atom_site_label
_atom_site_fract_x
_atom_site_fract_y
_atom_site_fract_z
Mo1 0.0000 0.0000 0.0000
Mo2 0.5000 0.5000 0.0000
Zn1 0.7500 0.2500 0.5000
Re1 0.2500 0.7500 0.5000
```

**Formation energy**: 0.22 eV/atom

=====

Material: SrMg6Sn2
Method: DFT, PBE-GGA
State: relaxed

```
data_SrMg6Sn2
_symmetry_space_group_name_H-M 'P 1'
_symmetry_Int_Tables_number 1
_symmetry_space_group_name_Hall 'P 1'
_cell_length_a 4.6189
_cell_length_b 4.6189
_cell_length_c 11.0291
_cell_angle_alpha 90.00
_cell_angle_beta 90.00
_cell_angle_gamma 90.00
loop_
_atom_site_label
_atom_site_fract_x
_atom_site_fract_y
_atom_site_fract_z
Mg1 0.0000 0.0000 0.5000
Mg2 0.5000 0.0000 0.2995
Mg3 0.5000 0.5000 0.5000
Mg4 0.5000 0.0000 0.7005
Mg5 0.0000 0.5000 0.7005
Mg6 0.0000 0.5000 0.2995
Sr1 0.0000 0.0000 0.0000
Sn1 0.5000 0.5000 0.8661
Sn2 0.5000 0.5000 0.1339
```

**Formation energy**: -0.22 eV/atom

=====

Material: HoAgHgGe
Method: DFT, PBE-GGA
State: relaxed

```
data_HoAgHgGe
_symmetry_space_group_name_H-M 'P 1'
_symmetry_Int_Tables_number 1
_symmetry_space_group_name_Hall 'P 1'
_cell_length_a 4.9521
_cell_length_b 4.9521
_cell_length_c 4.9521
_cell_angle_alpha 60.00
_cell_angle_beta 60.00
_cell_angle_gamma 60.00
loop_
_atom_site_label
_atom_site_fract_x
_atom_site_fract_y
_atom_site_fract_z
Ag1 0.5000 0.5000 0.5000
Ge1 0.2500 0.2500 0.2500
Ho1 0.0000 0.0000 0.0000
Hg1 0.7500 0.7500 0.7500
```

**Formation energy**: -0.32 eV/atom

=====

Material: HfCrPd2Pt
Method: DFT, PBE-GGA
State: relaxed

```
data_HfCrPd2Pt
_symmetry_space_group_name_H-M 'P 1'
_symmetry_Int_Tables_number 1
_symmetry_space_group_name_Hall 'P 1'
_cell_length_a 4.9085
_cell_length_b 4.7755
_cell_length_c 4.9085
_cell_angle_alpha 90.00
_cell_angle_beta 90.00
_cell_angle_gamma 90.00
loop_
_atom_site_label
_atom_site_fract_x
_atom_site_fract_y
_atom_site_fract_z
Hf1 0.0000 0.5000 0.0000
Pt1 0.0000 0.0000 0.0000
Cr1 0.5000 0.5000 0.5000
Pd1 0.0000 0.0000 0.5000
Pd2 0.5000 0.0000 0.0000
```

**Formation energy**: 1.25 eV/atom

=====

Material: Sr2ZrTa
Method: DFT, PBE-GGA
State: relaxed

```
data_Sr2ZrTa
_symmetry_space_group_name_H-M 'P 1'
_symmetry_Int_Tables_number 1
_symmetry_space_group_name_Hall 'P 1'
_cell_length_a 12.0625
_cell_length_b 12.0625
_cell_length_c 12.0625
_cell_angle_alpha 15.80
_cell_angle_beta 15.80
_cell_angle_gamma 15.80
loop_
_atom_site_label
_atom_site_fract_x
_atom_site_fract_y
_atom_site_fract_z
Zr1 0.7500 0.7500 0.7500
Ta1 0.2500 0.2500 0.2500
Sr1 0.5050 0.5050 0.5050
Sr2 0.9950 0.9950 0.9950
```

**Polymorph energy (0 for the lowest one)**: 493 meV/atom
**Formation energy**: 0.94 eV/atom

=====

Material: K3SnB2O6
Method: DFT, PBE-GGA
State: relaxed

```
data_K3SnB2O6
_symmetry_space_group_name_H-M 'P 1'
_symmetry_Int_Tables_number 1
_symmetry_space_group_name_Hall 'P 1'
_cell_length_a 5.5214
_cell_length_b 5.5214
_cell_length_c 6.9941
_cell_angle_alpha 90.00
_cell_angle_beta 90.00
_cell_angle_gamma 120.00
loop_
_atom_site_label
_atom_site_fract_x
_atom_site_fract_y
_atom_site_fract_z
O1 0.8130 0.1870 0.7048
O2 0.3740 0.1870 0.7048
O3 0.8130 0.6260 0.7048
O4 0.6260 0.8130 0.2952
O5 0.1870 0.8130 0.2952
O6 0.1870 0.3740 0.2952
K1 0.6667 0.3333 0.2577
K2 0.3333 0.6667 0.7423
K3 0.0000 0.0000 0.0000
B1 0.6667 0.3333 0.6997
B2 0.3333 0.6667 0.3003
Sn1 0.0000 0.0000 0.5000
```

**Raw formation energy**: -1.933 eV/atom

=====

Material: ZrInSi2
Method: DFT, PBE-GGA
State: relaxed

```
data_ZrInSi2
_symmetry_space_group_name_H-M 'P 1'
_symmetry_Int_Tables_number 1
_symmetry_space_group_name_Hall 'P 1'
_cell_length_a 4.9698
_cell_length_b 4.9698
_cell_length_c 3.0648
_cell_angle_alpha 90.00
_cell_angle_beta 90.00
_cell_angle_gamma 91.80
loop_
_atom_site_label
_atom_site_fract_x
_atom_site_fract_y
_atom_site_fract_z
Si1 0.5000 0.5000 0.0000
Si2 0.0000 0.0000 0.0000
In1 0.0000 0.5000 0.5000
Zr1 0.5000 0.0000 0.5000
```

**Raw formation energy**: -0.040 eV/atom

=====

Material: TbSi4Ni2
Method: DFT, PBE-GGA
State: relaxed

```
data_TbSi4Ni2
_symmetry_space_group_name_H-M 'P 1'
_symmetry_Int_Tables_number 1
_symmetry_space_group_name_Hall 'P 1'
_cell_length_a 3.9234
_cell_length_b 6.3169
_cell_length_c 16.8976
_cell_angle_alpha 90.00
_cell_angle_beta 90.00
_cell_angle_gamma 90.00
loop_
_atom_site_label
_atom_site_fract_x
_atom_site_fract_y
_atom_site_fract_z
Si1 0.7500 0.8700 0.4795
Si2 0.2500 0.3700 0.0205
Si3 0.2500 0.3072 0.7085
Si4 0.2500 0.1300 0.5205
Si5 0.7500 0.6928 0.2915
Si6 0.2500 0.7068 0.6812
Si7 0.7500 0.6300 0.9795
Si8 0.7500 0.9758 0.0638
Si9 0.7500 0.8072 0.7915
Si10 0.2500 0.7932 0.1812
Si11 0.2500 0.4758 0.4362
Si12 0.7500 0.2068 0.8188
Si13 0.2500 0.0242 0.9362
Si14 0.2500 0.1928 0.2085
Si15 0.7500 0.2932 0.3188
Si16 0.7500 0.5242 0.5638
Tb1 0.7500 0.4589 0.1391
Tb2 0.2500 0.5411 0.8609
Tb3 0.2500 0.9589 0.3609
Tb4 0.7500 0.0411 0.6391
Ni1 0.2500 0.7441 0.5374
Ni2 0.2500 0.0015 0.7920
Ni3 0.7500 0.2441 0.9626
Ni4 0.7500 0.9985 0.2080
Ni5 0.7500 0.5015 0.7080
Ni6 0.7500 0.2559 0.4626
Ni7 0.2500 0.4985 0.2920
Ni8 0.2500 0.7559 0.0374
```

**Raw formation energy**: -0.496 eV/atom

=====

Material: ZrTe2PtI
Method: DFT, PBE-GGA
State: relaxed

```
data_ZrTe2PtI
_symmetry_space_group_name_H-M 'P 1'
_symmetry_Int_Tables_number 1
_symmetry_space_group_name_Hall 'P 1'
_cell_length_a 5.7523
_cell_length_b 4.9480
_cell_length_c 5.7523
_cell_angle_alpha 90.00
_cell_angle_beta 90.00
_cell_angle_gamma 90.00
loop_
_atom_site_label
_atom_site_fract_x
_atom_site_fract_y
_atom_site_fract_z
Te1 0.5000 0.0000 0.0000
Te2 0.0000 0.0000 0.5000
Pt1 0.0000 0.5000 0.0000
Zr1 0.5000 0.5000 0.5000
I1 0.0000 0.0000 0.0000
```

**Polymorph energy (0 for the lowest one)**: 756 meV/atom
**Raw formation energy**: 1.050 eV/atom

=====

Material: Ti2Nb2In
Method: DFT, PBE-GGA
State: relaxed

```
data_Ti2Nb2In
_symmetry_space_group_name_H-M 'P 1'
_symmetry_Int_Tables_number 1
_symmetry_space_group_name_Hall 'P 1'
_cell_length_a 7.2483
_cell_length_b 7.2483
_cell_length_c 3.5383
_cell_angle_alpha 90.00
_cell_angle_beta 90.00
_cell_angle_gamma 90.00
loop_
_atom_site_label
_atom_site_fract_x
_atom_site_fract_y
_atom_site_fract_z
In1 0.5000 0.5000 0.0000
In2 0.0000 0.0000 0.0000
Nb1 0.8295 0.3295 0.5000
Nb2 0.6705 0.8295 0.5000
Nb3 0.3295 0.1705 0.5000
Nb4 0.1705 0.6705 0.5000
Ti1 0.3713 0.8713 0.0000
Ti2 0.6287 0.1287 0.0000
Ti3 0.1287 0.3713 0.0000
Ti4 0.8713 0.6287 0.0000
```

**Polymorph energy (0 for the lowest one)**: 108 meV/atom
**Formation energy**: 0.06 eV/atom

=====

Material: HoSc2S4
Method: DFT, PBE-GGA
State: relaxed

```
data_HoSc2S4
_symmetry_space_group_name_H-M 'P 1'
_symmetry_Int_Tables_number 1
_symmetry_space_group_name_Hall 'P 1'
_cell_length_a 3.6802
_cell_length_b 6.3669
_cell_length_c 12.6709
_cell_angle_alpha 90.00
_cell_angle_beta 90.00
_cell_angle_gamma 106.80
loop_
_atom_site_label
_atom_site_fract_x
_atom_site_fract_y
_atom_site_fract_z
S1 0.5000 0.0000 0.5000
S2 0.7733 0.5467 0.3813
S3 0.2267 0.4533 0.8813
S4 0.5000 0.0000 0.0000
S5 0.7733 0.5467 0.1187
S6 0.9599 0.9198 0.7500
S7 0.2267 0.4533 0.6187
S8 0.0401 0.0802 0.2500
Sc1 0.8719 0.7439 0.9346
Sc2 0.1281 0.2561 0.0654
Sc3 0.1281 0.2561 0.4346
Sc4 0.8719 0.7439 0.5654
Ho1 0.6237 0.2474 0.7500
Ho2 0.3763 0.7526 0.2500
```

**Raw formation energy**: -1.974 eV/atom

=====

no.,final energy (Ry/atom)
1,-0.4784
2,-0.6340
3,-0.1733
4,-0.2502
5,-0.4375
6,-0.3677
7,-0.4507
8,-0.4096
9,-0.4342
10,-0.2524
11,-0.5639
12,-0.4994